The following is a DFT calculation (PBE-GGA) of an optimized crystal structure of Na2AgHAu.

Calculated values
* E above lowest polymorph: 4.3 meV per atom

Unit cell a=5.142 b=5.142 c=3.562 alpha=90.00 beta=90.00 gamma=90.00
Space group P4/mmm (No. 123)
Symmetry-distinct sites (fractional):
Na (0.000, 0.500, 0.000) (multiplicity 2)
Ag (0.000, 0.000, 0.500) (multiplicity 1)
H (0.500, 0.500, 0.000) (multiplicity 1)
Au (0.500, 0.500, 0.500) (multiplicity 1)

The following is a DFT calculation (PBE-GGA) of an optimized crystal structure of NaAgHAu2.

Calculated values
* E above lowest polymorph: 50.9 meV per atom

Unit cell a=4.289 b=4.289 c=4.264 alpha=90.00 beta=90.00 gamma=90.00
Space group P4/mmm (No. 123)
Symmetry-distinct sites (fractional):
Na (0.000, 0.000, 0.000) (multiplicity 1)
Ag (0.500, 0.500, 0.000) (multiplicity 1)
H (0.500, 0.500, 0.500) (multiplicity 1)
Au (0.000, 0.500, 0.500) (multiplicity 2)

The following is a DFT calculation (PBE-GGA) of an optimized crystal structure of NaAgHAu2.

Calculated values
* E above lowest polymorph: 0.0 meV per atom

Unit cell a=4.137 b=4.137 c=4.533 alpha=90.00 beta=90.00 gamma=90.00
Space group P4/mmm (No. 123)
Symmetry-distinct sites (fractional):
Na (0.000, 0.000, 0.000) (multiplicity 1)
Ag (0.500, 0.500, 0.000) (multiplicity 1)
H (0.000, 0.000, 0.500) (multiplicity 1)
Au (0.000, 0.500, 0.500) (multiplicity 2)

The following is a DFT calculation (PBE-GGA) of an optimized crystal structure of Na2AgHAu.

Calculated values
* E above lowest polymorph: 544.1 meV per atom

Unit cell a=5.637 b=5.637 c=5.112 alpha=90.00 beta=90.00 gamma=90.00
Space group P4/mmm (No. 123)
Symmetry-distinct sites (fractional):
Na (0.000, 0.500, 0.000) (multiplicity 2)
Ag (0.000, 0.000, 0.000) (multiplicity 1)
H (0.500, 0.500, 0.500) (multiplicity 1)
Au (0.000, 0.000, 0.500) (multiplicity 1)

The following is a DFT calculation (PBE-GGA) of an optimized crystal structure of NaAg2HAu.

Calculated values
* E above lowest polymorph: 79.5 meV per atom

Unit cell a=4.479 b=4.479 c=3.958 alpha=90.00 beta=90.00 gamma=90.00
Space group P4/mmm (No. 123)
Symmetry-distinct sites (fractional):
Na (0.000, 0.000, 0.000) (multiplicity 1)
Ag (0.000, 0.500, 0.500) (multiplicity 2)
H (0.500, 0.500, 0.500) (multiplicity 1)
Au (0.500, 0.500, 0.000) (multiplicity 1)

The following is a DFT calculation (PBE-GGA) of an optimized crystal structure of NaAg2HAu.

Calculated values
* E above lowest polymorph: 0.0 meV per atom

Unit cell a=4.153 b=4.153 c=4.544 alpha=90.00 beta=90.00 gamma=90.00
Space group P4/mmm (No. 123)
Symmetry-distinct sites (fractional):
Na (0.000, 0.000, 0.000) (multiplicity 1)
Ag (0.000, 0.500, 0.500) (multiplicity 2)
H (0.000, 0.000, 0.500) (multiplicity 1)
Au (0.500, 0.500, 0.000) (multiplicity 1)

The following is a DFT calculation (PBE-GGA) of an optimized crystal structure of Na2AgHAu.

Calculated values
* E above lowest polymorph: 0.0 meV per atom

Unit cell a=4.755 b=4.755 c=3.929 alpha=90.00 beta=90.00 gamma=90.00
Space group P4/mmm (No. 123)
Symmetry-distinct sites (fractional):
Na (0.000, 0.500, 0.000) (multiplicity 2)
Ag (0.000, 0.000, 0.500) (multiplicity 1)
H (0.000, 0.000, 0.000) (multiplicity 1)
Au (0.500, 0.500, 0.500) (multiplicity 1)

The following is a DFT calculation (PBE-GGA) of an optimized crystal structure of Nb2AgHAu.

Calculated values
* E above lowest polymorph: 0.0 meV per atom

Unit cell a=4.066 b=4.066 c=4.438 alpha=90.00 beta=90.00 gamma=90.00
Space group P4/mmm (No. 123)
Symmetry-distinct sites (fractional):
Nb (0.000, 0.500, 0.000) (multiplicity 2)
Ag (0.000, 0.000, 0.500) (multiplicity 1)
H (0.000, 0.000, 0.000) (multiplicity 1)
Au (0.500, 0.500, 0.500) (multiplicity 1)

The following is a DFT calculation (PBE-GGA) of an optimized crystal structure of NiAg2HAu.

Unit cell a=4.549 b=4.549 c=3.310 alpha=90.00 beta=90.00 gamma=90.00
Space group P4/mmm (No. 123)
Symmetry-distinct sites (fractional):
Ni (0.000, 0.000, 0.000) (multiplicity 1)
Ag (0.000, 0.500, 0.500) (multiplicity 2)
H (0.000, 0.000, 0.500) (multiplicity 1)
Au (0.500, 0.500, 0.000) (multiplicity 1)

The following is a DFT calculation (PBE-GGA) of an optimized crystal structure of Ni2AgHAu.

Calculated values
* E above lowest polymorph: 17.0 meV per atom

Unit cell a=3.869 b=3.869 c=4.014 alpha=90.00 beta=90.00 gamma=90.00
Space group P4/mmm (No. 123)
Symmetry-distinct sites (fractional):
Ni (0.000, 0.500, 0.000) (multiplicity 2)
Ag (0.000, 0.000, 0.500) (multiplicity 1)
H (0.500, 0.500, 0.000) (multiplicity 1)
Au (0.500, 0.500, 0.500) (multiplicity 1)

The following is a DFT calculation (PBE-GGA) of an optimized crystal structure of Ni2AgHAu.

Calculated values
* E above lowest polymorph: 0.0 meV per atom

Unit cell a=3.856 b=3.856 c=4.034 alpha=90.00 beta=90.00 gamma=90.00
Space group P4/mmm (No. 123)
Symmetry-distinct sites (fractional):
Ni (0.000, 0.500, 0.000) (multiplicity 2)
Ag (0.000, 0.000, 0.500) (multiplicity 1)
H (0.000, 0.000, 0.000) (multiplicity 1)
Au (0.500, 0.500, 0.500) (multiplicity 1)

The following is a DFT calculation (PBE-GGA) of an optimized crystal structure of Ag2HPbAu.

Unit cell a=4.967 b=4.967 c=3.622 alpha=90.00 beta=90.00 gamma=90.00
Space group P4/mmm (No. 123)
Symmetry-distinct sites (fractional):
Ag (0.000, 0.500, 0.000) (multiplicity 2)
H (0.000, 0.000, 0.000) (multiplicity 1)
Pb (0.500, 0.500, 0.500) (multiplicity 1)
Au (0.000, 0.000, 0.500) (multiplicity 1)

Final energy readings, ordered: -2.506; -2.745; -2.796; -1.966; -2.631; -2.710; -2.510; -5.911; -3.498; -4.029; -4.046; -3.010 eV per atom